VASP calculation (PBE) on a relaxed CrOs2CBr crystal.

Cell lengths 4.630, 4.630, 3.791 Å; angles 90.00, 90.00, 90.00 degrees
Space group P4/mmm (No. 123)
Symmetry-distinct sites (fractional):
Cr (0.000, 0.000, 0.000) (multiplicity 1)
Os (0.000, 0.500, 0.500) (multiplicity 2)
C (0.500, 0.500, 0.000) (multiplicity 1)
Br (0.500, 0.500, 0.500) (multiplicity 1)

Summary:
Final energy   -27.07 eV per cell
Total magnetization   0.17 μB per formula unit



VASP calculation (PBE) on a relaxed CrRh2CBr crystal.

Cell lengths 3.891, 3.891, 5.455 Å; angles 90.00, 90.00, 90.00 degrees
Space group P4/mmm (No. 123)
Symmetry-distinct sites (fractional):
Cr (0.000, 0.000, 0.000) (multiplicity 1)
Rh (0.000, 0.500, 0.500) (multiplicity 2)
C (0.500, 0.500, 0.500) (multiplicity 1)
Br (0.500, 0.500, 0.000) (multiplicity 1)

Summary:
Final energy   -29.98 eV per cell
Total magnetization   0.10 μB per formula unit



VASP calculation (PBE) on a relaxed CrRuC2Br crystal.

Cell lengths 3.763, 3.763, 5.033 Å; angles 90.00, 90.00, 90.00 degrees
Space group P4/mmm (No. 123)
Symmetry-distinct sites (fractional):
Cr (0.000, 0.000, 0.000) (multiplicity 1)
Ru (0.000, 0.000, 0.500) (multiplicity 1)
C (0.000, 0.500, 0.000) (multiplicity 2)
Br (0.500, 0.500, 0.500) (multiplicity 1)

Summary:
Final energy   -30.81 eV per cell
Total magnetization   0.53 μB per formula unit



VASP calculation (PBE) on a relaxed CrRuCBr2 crystal.

Cell lengths 4.972, 4.972, 3.578 Å; angles 90.00, 90.00, 90.00 degrees
Space group P4/mmm (No. 123)
Symmetry-distinct sites (fractional):
Cr (0.000, 0.000, 0.000) (multiplicity 1)
Ru (0.500, 0.500, 0.500) (multiplicity 1)
C (0.000, 0.000, 0.500) (multiplicity 1)
Br (0.000, 0.500, 0.000) (multiplicity 2)

Summary:
Final energy   -24.34 eV per cell
Total magnetization   0.02 μB per formula unit



VASP calculation (PBE) on a relaxed CrCSe2Br crystal.

Cell lengths 4.770, 4.770, 5.106 Å; angles 90.00, 90.00, 90.00 degrees
Space group P4/mmm (No. 123)
Symmetry-distinct sites (fractional):
Cr (0.000, 0.000, 0.000) (multiplicity 1)
C (0.500, 0.500, 0.500) (multiplicity 1)
Se (0.000, 0.500, 0.000) (multiplicity 2)
Br (0.000, 0.000, 0.500) (multiplicity 1)

Summary:
Energy above the most stable polymorph in this dataset   0.00 kcal/mol of atoms
Total magnetization   3.47 μB per formula unit



VASP calculation (PBE) on a relaxed CrCSeBr2 crystal.

Cell lengths 5.074, 5.074, 4.560 Å; angles 90.00, 90.00, 90.00 degrees
Space group P4/mmm (No. 123)
Symmetry-distinct sites (fractional):
Cr (0.000, 0.000, 0.000) (multiplicity 1)
C (0.500, 0.500, 0.500) (multiplicity 1)
Se (0.000, 0.000, 0.500) (multiplicity 1)
Br (0.000, 0.500, 0.000) (multiplicity 2)

Summary:
Energy above the most stable polymorph in this dataset   7.02 kcal/mol of atoms
Total magnetization   1.36 μB per formula unit